[1]
Compound: PrSmCo
Source: Alexandria via LeMat-Bulk
Functional: GGA-PBE
Structure: optimized geometry

Values from the calculation:
* total DFT energy (no corrections): -5.514 eV per atom
* ΔH_f (0 K): 0.021 eV/atom
* relative energy among the computed polymorphs: 0.0853 eV per atom
* N(E_F): 3.00 states/eV/cell

Cell lengths 3.4721, 3.4721, 7.0339 Å; angles 104.29, 104.29, 90.00 degrees
Last column: nearest neighbours and their distance in Å.
Atoms (fractional coordinates):
Co  0.6698  0.6698  0.3396  4 Sm 2.93, 4 Pr 3.00
Sm  0.2912  0.2912  0.5824  4 Co 2.93
Pr  0.0390  0.0390  0.0779  4 Co 3.00, 1 Sm 3.33



[2]
Compound: Tm8BiPb5
Source: Alexandria via LeMat-Bulk
Functional: GGA-PBE
Structure: optimized geometry

Values from the calculation:
* total DFT energy (no corrections): -4.667 eV per atom
* ΔH_f (0 K): -0.510 eV/atom
* N(E_F): 8.50 states/eV/cell

Cell lengths 8.0412, 8.0412, 8.0412 Å; angles 109.45, 109.50, 109.45 degrees
Last column: nearest neighbours and their distance in Å.
Atoms (fractional coordinates):
Tm  0.1231  0.7524  0.5166  5 Pb 3.09-3.34, 1 Bi 3.36
Tm  0.9783  0.1031  0.7305  5 Pb 3.09-3.33, 1 Bi 3.13
Tm  0.4834  0.6065  0.2358  5 Pb 3.09-3.34, 1 Bi 3.36
Tm  0.7642  0.2476  0.3707  5 Pb 3.09-3.34, 1 Bi 3.36
Tm  0.2695  0.2478  0.3726  5 Pb 3.09-3.33, 1 Bi 3.13
Tm  0.6293  0.3935  0.8769  5 Pb 3.09-3.34, 1 Bi 3.36
Tm  0.6274  0.8969  0.8752  5 Pb 3.09-3.33, 1 Bi 3.13
Tm  0.1248  0.7522  0.0217  5 Pb 3.09-3.33, 1 Bi 3.13
Pb  0.5000  0.0000  0.5000  8 Tm 3.10-3.32
Pb  0.3731  0.1238  0.9968  8 Tm 3.09-3.34
Pb  0.0032  0.3764  0.1270  8 Tm 3.09-3.34
Pb  0.8730  0.8762  0.2493  8 Tm 3.09-3.34
Pb  0.7507  0.6236  0.6269  8 Tm 3.09-3.34
Bi  0.2500  0.5000  0.7500  8 Tm 3.13-3.36



[3]
Compound: NaCa3Pt
Source: Alexandria via LeMat-Bulk
Functional: GGA-PBE
Structure: optimized geometry

Values from the calculation:
* total DFT energy (no corrections): -3.141 eV per atom
* ΔH_f (0 K): -0.468 eV/atom
* relative energy among the computed polymorphs: 0.0000 eV per atom
* N(E_F): 6.48 states/eV/cell

Cell lengths 9.3273, 4.0226, 8.7958 Å; angles 90.00, 101.26, 90.02 degrees
Last column: nearest neighbours and their distance in Å.
Atoms (fractional coordinates):
Ca  0.8663  0.4933  0.7217  2 Pt 2.96
Ca  0.4532  0.4930  0.6484  2 Pt 2.92
Ca  0.3970  0.9928  0.2776  3 Pt 3.01-3.14
Ca  0.2401  0.9930  0.8894  2 Pt 2.96
Ca  0.6532  0.9931  0.9628  2 Pt 2.92
Ca  0.7093  0.4930  0.3335  3 Pt 3.01-3.14
Pt  0.6531  0.9930  0.5692  7 Ca 2.92-3.14
Pt  0.4532  0.4929  0.0420  7 Ca 2.92-3.14
Na  0.0685  0.9947  0.4738  2 Na 3.54-3.55, 6 Ca 3.69-3.90
Na  0.0377  0.4937  0.1371  2 Na 3.54-3.55, 6 Ca 3.69-3.90